(1)
{"formula": "Gd2ZnSn", "functional": "PBE", "state": "relaxed", "cell": [[0.000, 3.712, 3.712], [3.712, 0.000, 3.712], [3.712, 3.712, 0.000]], "species": ["Gd", "Gd", "Zn", "Sn"], "fractional_positions": [[0.250, 0.250, 0.250], [0.750, 0.750, 0.750], [0.000, 0.000, 0.000], [0.500, 0.500, 0.500]], "e_above_lowest_polymorph_ev_per_atom": 0.003, "ef_ev_per_atom": -0.53}



(2)
{"formula": "La2Nd2Er7", "functional": "PBE", "state": "relaxed", "cell": [[6.555, 0.000, 0.000], [-0.712, 6.603, 0.000], [-0.833, -1.273, 8.466]], "species": ["La", "La", "Nd", "Nd", "Er", "Er", "Er", "Er", "Er", "Er", "Er"], "fractional_positions": [[0.030, 0.143, 0.210], [0.970, 0.857, 0.790], [0.151, 0.679, 0.336], [0.849, 0.321, 0.664], [0.244, 0.444, 0.963], [0.324, 0.120, 0.607], [0.448, 0.634, 0.672], [0.500, 0.000, 0.000], [0.552, 0.366, 0.328], [0.676, 0.880, 0.393], [0.756, 0.556, 0.037]], "e_above_lowest_polymorph_ev_per_atom": 0.000, "ef_ev_per_atom": 0.10}



(3)
{"formula": "Cu3ReBr2F6", "functional": "PBE", "state": "relaxed", "cell": [[7.463, -2.927, 0.000], [7.463, 2.927, 0.000], [-0.406, 0.000, 4.894]], "species": ["Cu", "Cu", "Cu", "Re", "Br", "Br", "F", "F", "F", "F", "F", "F"], "fractional_positions": [[0.000, 0.000, 0.000], [0.000, 0.500, 0.500], [0.500, 0.000, 0.500], [0.500, 0.500, 0.500], [0.191, 0.191, 0.176], [0.809, 0.809, 0.824], [0.209, 0.699, 0.251], [0.301, 0.791, 0.749], [0.387, 0.387, 0.667], [0.613, 0.613, 0.333], [0.699, 0.209, 0.251], [0.791, 0.301, 0.749]], "dft_energy_ev_per_cell": -54.84}



(4)
{"formula": "CsY3Te4O12", "functional": "PBE", "state": "relaxed", "cell": [[5.805, 3.352, 3.137], [-5.805, 3.352, 3.137], [0.000, -6.703, 3.137]], "species": ["Cs", "Y", "Y", "Y", "Te", "Te", "Te", "Te", "O", "O", "O", "O", "O", "O", "O", "O", "O", "O", "O", "O"], "fractional_positions": [[0.000, 0.000, 0.000], [0.000, 0.575, 0.425], [0.425, 0.000, 0.575], [0.575, 0.425, 0.000], [0.093, 0.500, 0.907], [0.500, 0.500, 0.500], [0.500, 0.907, 0.093], [0.907, 0.093, 0.500], [0.065, 0.292, 0.407], [0.074, 0.926, 0.500], [0.292, 0.407, 0.065], [0.323, 0.677, 0.500], [0.407, 0.065, 0.292], [0.500, 0.074, 0.926], [0.500, 0.323, 0.677], [0.593, 0.708, 0.935], [0.677, 0.500, 0.323], [0.708, 0.935, 0.593], [0.926, 0.500, 0.074], [0.935, 0.593, 0.708]], "dft_energy_ev_per_cell": -127.80}



no.,M_tot (Bohr magnetons per cell)
1,14.58
2,0.00
3,2.00
4,0.00